Entry 1:
! YNiAu2 | Alexandria via LeMat-Bulk | GGA-PBE | relaxed; values from VASP
&SYSTEM
  ibrav = 0, nat = 4, ntyp = 3
/
ATOMIC_SPECIES
Au 196.97 Au.upf
Ni 58.69 Ni.upf
Y 88.91 Y.upf
ATOMIC_POSITIONS angstrom
Au -2.850 0.762 0.396
Au -0.023 0.044 0.064
Ni -0.788 1.503 2.195
Y -3.636 2.263 2.587
CELL_PARAMETERS angstrom
-1.987 2.072 -2.133
-2.840 -2.213 0.496
-1.647 3.142 4.586
! - ΔH_f (0 K) (eV per atom) = -0.42
! - density (g/cm3) = 11.9
! - size of the total moment (μB/f.u.) = 0.000
! - energy (eV/atom) = -5.12

---

Entry 2:
! CdAgHg2 | Alexandria via LeMat-Bulk | GGA-PBE | relaxed; values from VASP
&SYSTEM
  ibrav = 0, nat = 4, ntyp = 3
/
ATOMIC_SPECIES
Hg 200.59 Hg.upf
Ag 107.87 Ag.upf
Cd 112.41 Cd.upf
ATOMIC_POSITIONS angstrom
Hg -4.030 -2.634 0.381
Hg -1.035 -2.728 0.085
Ag -4.917 -8.128 0.433
Cd -2.813 -5.433 0.243
CELL_PARAMETERS angstrom
-0.366 -4.122 -2.391
0.103 -4.152 2.365
-4.960 -2.605 0.473
! - ΔH_f (0 K) (eV per atom) = 0.09
! - density (g/cm3) = 10.6
! - size of the total moment (μB/f.u.) = 0.000
! - energy (eV/atom) = -1.00